No. 1
Here is a geometry-optimized Nd2SiF structure from Alexandria via LeMat-Bulk. Energies are from PBE-GGA.

- Size of the total moment: 0.0 μB/f.u.

abc: 4.3879 4.3879 8.0616
angles: 74.21 74.21 60.00
Fractional coordinates of all 4 atoms:
Si1 0.5000 0.5000 0.5000
F1 0.0000 0.0000 0.0000
Nd1 0.1010 0.1010 0.6969
Nd2 0.8990 0.8990 0.3031

No. 2
Here is a geometry-optimized Nd2SiF structure from Alexandria via LeMat-Bulk. Energies are from PBE-GGA.

- Size of the total moment: 0.0 μB/f.u.

abc: 4.0097 4.0097 7.3617
angles: 74.20 74.20 60.00
Fractional coordinates of all 4 atoms:
Nd1 0.2565 0.2565 0.2305
Nd2 0.0824 0.0824 0.7527
F1 0.4921 0.4921 0.5236
Si1 0.6689 0.6689 0.9932

No. 3
Here is a geometry-optimized NdSmF structure from Alexandria via LeMat-Bulk. Energies are from PBE-GGA.

- Size of the total moment: 0.0 μB/f.u.

abc: 3.8517 3.8517 5.7404
angles: 90.00 90.00 120.00
Fractional coordinates of all 3 atoms:
Nd1 0.6667 0.3333 0.4169
Sm1 0.0000 0.0000 0.9110
F1 0.3333 0.6667 0.6722

| no. | DOS at the Fermi energy (states/eV per atom) | raw formation energy (eV/atom) | volume (Å³/f.u.) |
| --- | --- | --- | --- |
| 1 | 0.613 | -1.55 | 127.61 |
| 2 | 0.570 | -1.41 | 97.30 |
| 3 | 0.723 | -1.55 | 73.75 |